# 1
# Sc4TlGaC (GGA-PBE, optimized geometry)
# Formation enthalpy at 0 K ... -43 kJ/mol of atoms
# Calculated total energy ... -6.148 eV per atom
data_Sc4TlGaC
_chemical_formula_sum 'Sc16 Tl4 Ga4 C4'
_space_group_name_H-M_alt 'C m c m'
_space_group_IT_number 63
_space_group_name_Hall '-C 2c 2'
_cell_length_a 6.4041
_cell_length_b 14.1174
_cell_length_c 6.4093
_cell_angle_alpha 90.00
_cell_angle_beta 90.00
_cell_angle_gamma 90.00
loop_
_atom_site_label
_atom_site_fract_x
_atom_site_fract_y
_atom_site_fract_z
Sc1 0.0000 0.0850 0.2500
Sc2 0.0000 0.4076 0.2500
Sc3 0.2500 0.2500 0.0000
Tl1 0.0000 0.3877 0.7500
Ga1 0.0000 0.1217 0.7500
C1 0.0000 0.2474 0.2500

=====

# 2
# SrAlAg2Sn (GGA-PBE, optimized geometry)
# Formation enthalpy at 0 K ... -28 kJ/mol of atoms
# Calculated total energy ... -3.316 eV per atom
data_SrAlAg2Sn
_chemical_formula_sum 'Sr2 Al2 Ag4 Sn2'
_space_group_name_H-M_alt 'I m m 2'
_space_group_IT_number 44
_space_group_name_Hall 'I 2 -2'
_cell_length_a 4.4955
_cell_length_b 4.5884
_cell_length_c 11.7795
_cell_angle_alpha 90.00
_cell_angle_beta 90.00
_cell_angle_gamma 90.00
loop_
_atom_site_label
_atom_site_fract_x
_atom_site_fract_y
_atom_site_fract_z
Sr1 0.0000 0.0000 0.0000
Al1 0.0000 0.0000 0.3856
Ag1 0.0000 0.0000 0.6031
Ag2 0.0000 0.5000 0.2664
Sn1 0.0000 0.5000 0.7462

=====

# 3
# Ce2AgSe4 (GGA-PBE, optimized geometry)
# ΔE_f (raw) ... -1.284 eV/atom
# Energy relative to the lowest polymorph listed for this composition ... 5 meV per atom
# Calculated total energy ... -5.378 eV per atom
data_Ce2AgSe4
_chemical_formula_sum 'Ce4 Ag2 Se8'
_space_group_name_H-M_alt 'P 1 21/m 1'
_space_group_IT_number 11
_space_group_name_Hall '-P 2yb'
_cell_length_a 6.8533
_cell_length_b 7.1182
_cell_length_c 7.9870
_cell_angle_alpha 90.00
_cell_angle_beta 106.89
_cell_angle_gamma 90.00
loop_
_atom_site_label
_atom_site_fract_x
_atom_site_fract_y
_atom_site_fract_z
Ce1 0.2053 0.2500 0.0491
Ce2 0.2174 0.2500 0.5565
Ag1 0.2503 0.7500 0.3150
Se1 0.0289 0.5173 0.7553
Se2 0.4784 0.7500 0.1084
Se3 0.4851 0.7500 0.6325

=====

# 4
# Sm3Sb12Os5 (GGA-PBE, optimized geometry)
# ΔE_f (raw) ... 0.142 eV/atom
# Calculated total energy ... -5.847 eV per atom
data_Sm3Sb12Os5
_chemical_formula_sum 'Sm24 Sb96 Os40'
_space_group_name_H-M_alt 'I a -3 d'
_space_group_IT_number 230
_space_group_name_Hall '-I 4bd 2c 3'
_cell_length_a 16.5846
_cell_length_b 16.5846
_cell_length_c 16.5846
_cell_angle_alpha 90.00
_cell_angle_beta 90.00
_cell_angle_gamma 90.00
loop_
_atom_site_label
_atom_site_fract_x
_atom_site_fract_y
_atom_site_fract_z
Sm1 0.0000 0.2500 0.1250
Sb1 0.0413 0.0658 0.6411
Os1 0.0000 0.0000 0.0000
Os2 0.0000 0.2500 0.3750

=====

# 5
# Li2CdAgF6 (GGA-PBE, optimized geometry)
# ΔE_f (raw) ... -2.124 eV/atom
# Calculated total energy ... -4.007 eV per atom
data_Li2CdAgF6
_chemical_formula_sum 'Li8 Cd4 Ag4 F24'
_space_group_name_H-M_alt 'C 1 2/c 1'
_space_group_IT_number 15
_space_group_name_Hall '-C 2yc'
_cell_length_a 10.9077
_cell_length_b 9.3582
_cell_length_c 5.7397
_cell_angle_alpha 90.00
_cell_angle_beta 105.29
_cell_angle_gamma 90.00
loop_
_atom_site_label
_atom_site_fract_x
_atom_site_fract_y
_atom_site_fract_z
Li1 0.2084 0.0971 0.2208
Cd1 0.0000 0.4053 0.2500
Ag1 0.0000 0.1331 0.7500
F1 0.1089 0.2550 0.0623
F2 0.1203 0.4208 0.6278
F3 0.1268 0.0270 0.4569

=====

# 6
# AcYTm (GGA-PBE, optimized geometry)
# Formation enthalpy at 0 K ... 16 kJ/mol of atoms
# Energy relative to the lowest polymorph listed for this composition ... 98 meV per atom
# Calculated total energy ... -4.849 eV per atom
data_AcYTm
_chemical_formula_sum 'Ac2 Y2 Tm2'
_space_group_name_H-M_alt 'P 63 m c'
_space_group_IT_number 186
_space_group_name_Hall 'P 6c -2c'
_cell_length_a 3.6572
_cell_length_b 3.6572
_cell_length_c 18.8140
_cell_angle_alpha 90.00
_cell_angle_beta 90.00
_cell_angle_gamma 120.00
loop_
_atom_site_label
_atom_site_fract_x
_atom_site_fract_y
_atom_site_fract_z
Ac1 0.3333 0.6667 0.0000
Y1 0.0000 0.0000 0.1643
Tm1 0.3333 0.6667 0.8113

=====

# 7
# ThTlH (GGA-PBE, optimized geometry)
# Energy relative to the lowest polymorph listed for this composition ... 257 meV per atom
# Calculated total energy ... -4.431 eV per atom
data_ThTlH
_chemical_formula_sum 'Th2 Tl2 H2'
_space_group_name_H-M_alt 'I 4 m m'
_space_group_IT_number 107
_space_group_name_Hall 'I 4 -2'
_cell_length_a 3.3703
_cell_length_b 3.3703
_cell_length_c 11.8236
_cell_angle_alpha 90.00
_cell_angle_beta 90.00
_cell_angle_gamma 90.00
loop_
_atom_site_label
_atom_site_fract_x
_atom_site_fract_y
_atom_site_fract_z
Th1 0.0000 0.0000 0.0000
Tl1 0.0000 0.0000 0.2774
H1 0.0000 0.0000 0.5411

=====

# 8
# CsIn2GaSn (GGA-PBE, optimized geometry)
# Formation enthalpy at 0 K ... -11 kJ/mol of atoms
# Calculated total energy ... -2.788 eV per atom
data_CsIn2GaSn
_chemical_formula_sum 'Cs2 In4 Ga2 Sn2'
_space_group_name_H-M_alt 'I -4 m 2'
_space_group_IT_number 119
_space_group_name_Hall 'I -4 -2'
_cell_length_a 5.0917
_cell_length_b 5.0917
_cell_length_c 12.3836
_cell_angle_alpha 90.00
_cell_angle_beta 90.00
_cell_angle_gamma 90.00
loop_
_atom_site_label
_atom_site_fract_x
_atom_site_fract_y
_atom_site_fract_z
Cs1 0.0000 0.0000 0.0000
In1 0.0000 0.0000 0.3780
Ga1 0.0000 0.5000 0.2500
Sn1 0.0000 0.5000 0.7500

=====

# 9
# Nd7Sc (GGA-PBE, optimized geometry)
# Formation enthalpy at 0 K ... 7 kJ/mol of atoms
# Energy relative to the lowest polymorph listed for this composition ... 47 meV per atom
# Calculated total energy ... -4.888 eV per atom
data_Nd7Sc
_chemical_formula_sum 'Nd14 Sc2'
_space_group_name_H-M_alt 'I m m m'
_space_group_IT_number 71
_space_group_name_Hall '-I 2 2'
_cell_length_a 3.5606
_cell_length_b 11.3476
_cell_length_c 13.3352
_cell_angle_alpha 90.00
_cell_angle_beta 90.00
_cell_angle_gamma 90.00
loop_
_atom_site_label
_atom_site_fract_x
_atom_site_fract_y
_atom_site_fract_z
Nd1 0.0000 0.0000 0.0000
Nd2 0.0000 0.0000 0.2600
Nd3 0.0000 0.2580 0.3720
Sc1 0.0000 0.5000 0.0000

=====

# 10
# ZrHg3Se2Cl6 (GGA-PBE, optimized geometry)
# ΔE_f (raw) ... -1.026 eV/atom
# Calculated total energy ... -3.318 eV per atom
data_ZrHg3Se2Cl6
_chemical_formula_sum 'Zr2 Hg6 Se4 Cl12'
_space_group_name_H-M_alt 'P 1 21/c 1'
_space_group_IT_number 14
_space_group_name_Hall '-P 2ybc'
_cell_length_a 7.0155
_cell_length_b 7.7978
_cell_length_c 13.5277
_cell_angle_alpha 90.00
_cell_angle_beta 90.06
_cell_angle_gamma 90.00
loop_
_atom_site_label
_atom_site_fract_x
_atom_site_fract_y
_atom_site_fract_z
Zr1 0.0000 0.0000 0.0000
Hg1 0.4985 0.2463 0.2489
Hg2 0.5000 0.0000 0.5000
Se1 0.3265 0.5033 0.8334
Cl1 0.1970 0.2308 0.0768
Cl2 0.2046 0.0033 0.8494
Cl3 0.2055 0.7249 0.5763

=====

# 11
# PCl2 (GGA-PBE, optimized geometry)
# ΔE_f (raw) ... 0.118 eV/atom
# Calculated total energy ... -2.917 eV per atom
data_PCl2
_chemical_formula_sum 'P3 Cl6'
_space_group_name_H-M_alt 'P -6 2 m'
_space_group_IT_number 189
_space_group_name_Hall 'P -6 -2'
_cell_length_a 7.9201
_cell_length_b 7.9201
_cell_length_c 6.8833
_cell_angle_alpha 90.00
_cell_angle_beta 90.00
_cell_angle_gamma 120.00
loop_
_atom_site_label
_atom_site_fract_x
_atom_site_fract_y
_atom_site_fract_z
P1 0.0000 0.0000 0.0000
P2 0.3333 0.6667 0.5000
Cl1 0.0000 0.4892 0.5000
Cl2 0.0000 0.7194 0.0000

=====

# 12
# InCu2Os (GGA-PBE, optimized geometry)
# Formation enthalpy at 0 K ... 35 kJ/mol of atoms
# Calculated total energy ... -5.173 eV per atom
data_InCu2Os
_chemical_formula_sum 'In1 Cu2 Os1'
_space_group_name_H-M_alt 'P 4 m m'
_space_group_IT_number 99
_space_group_name_Hall 'P 4 -2'
_cell_length_a 2.9906
_cell_length_b 2.9906
_cell_length_c 6.5972
_cell_angle_alpha 90.00
_cell_angle_beta 90.00
_cell_angle_gamma 90.00
loop_
_atom_site_label
_atom_site_fract_x
_atom_site_fract_y
_atom_site_fract_z
In1 0.0000 0.0000 0.0000
Cu1 0.0000 0.0000 0.5173
Cu2 0.5000 0.5000 0.7185
Os1 0.5000 0.5000 0.2895

=====

# 13
# HoTmAs2Rh5 (GGA-PBE, optimized geometry)
# Formation enthalpy at 0 K ... -77 kJ/mol of atoms
# Calculated total energy ... -6.916 eV per atom
data_HoTmAs2Rh5
_chemical_formula_sum 'Ho1 Tm1 As2 Rh5'
_space_group_name_H-M_alt 'P 4/m m m'
_space_group_IT_number 123
_space_group_name_Hall '-P 4 2'
_cell_length_a 4.2201
_cell_length_b 4.2201
_cell_length_c 8.7381
_cell_angle_alpha 90.00
_cell_angle_beta 90.00
_cell_angle_gamma 90.00
loop_
_atom_site_label
_atom_site_fract_x
_atom_site_fract_y
_atom_site_fract_z
Ho1 0.0000 0.0000 0.0000
Tm1 0.0000 0.0000 0.5000
As1 0.5000 0.5000 0.3553
Rh1 0.0000 0.5000 0.2325
Rh2 0.5000 0.5000 0.0000

=====

# 14
# Pa2NbTc (GGA-PBE, optimized geometry)
# Formation enthalpy at 0 K ... 33 kJ/mol of atoms
# Energy relative to the lowest polymorph listed for this composition ... 264 meV per atom
# Calculated total energy ... -9.518 eV per atom
data_Pa2NbTc
_chemical_formula_sum 'Pa6 Nb3 Tc3'
_space_group_name_H-M_alt 'R -3 m'
_space_group_IT_number 166
_space_group_name_Hall '-R 3 2"'
_cell_length_a 3.0597
_cell_length_b 3.0597
_cell_length_c 31.0650
_cell_angle_alpha 90.00
_cell_angle_beta 90.00
_cell_angle_gamma 120.00
loop_
_atom_site_label
_atom_site_fract_x
_atom_site_fract_y
_atom_site_fract_z
Pa1 0.0000 0.0000 0.0922
Nb1 0.0000 0.0000 0.0000
Tc1 0.0000 0.0000 0.5000

=====

# 15
# Ti4SnSe8 (GGA-PBE, optimized geometry)
# ΔE_f (raw) ... -0.989 eV/atom
# Energy relative to the lowest polymorph listed for this composition ... 32 meV per atom
# Calculated total energy ... -5.871 eV per atom
data_Ti4SnSe8
_chemical_formula_sum 'Ti16 Sn4 Se32'
_space_group_name_H-M_alt 'F -4 3 m'
_space_group_IT_number 216
_space_group_name_Hall 'F -4 2 3'
_cell_length_a 10.6794
_cell_length_b 10.6794
_cell_length_c 10.6794
_cell_angle_alpha 90.00
_cell_angle_beta 90.00
_cell_angle_gamma 90.00
loop_
_atom_site_label
_atom_site_fract_x
_atom_site_fract_y
_atom_site_fract_z
Ti1 0.1052 0.1052 0.3948
Sn1 0.0000 0.0000 0.0000
Se1 0.1280 0.1280 0.6280
Se2 0.1416 0.1416 0.1416

=====

# 16
# CaCd2Rh (GGA-PBE, optimized geometry)
# Formation enthalpy at 0 K ... -18 kJ/mol of atoms
# Calculated total energy ... -2.987 eV per atom
data_CaCd2Rh
_chemical_formula_sum 'Ca1 Cd2 Rh1'
_space_group_name_H-M_alt 'P 1 2/m 1'
_space_group_IT_number 10
_space_group_name_Hall '-P 2y'
_cell_length_a 3.2918
_cell_length_b 4.7156
_cell_length_c 5.7193
_cell_angle_alpha 90.00
_cell_angle_beta 106.16
_cell_angle_gamma 90.00
loop_
_atom_site_label
_atom_site_fract_x
_atom_site_fract_y
_atom_site_fract_z
Ca1 0.0000 0.0000 0.0000
Cd1 0.3885 0.5000 0.7223
Rh1 0.0000 0.0000 0.5000

=====

# 17
# LaTb2Ce3Te6 (GGA-PBE, optimized geometry)
# ΔE_f (raw) ... -1.390 eV/atom
# Calculated total energy ... -5.627 eV per atom
data_LaTb2Ce3Te6
_chemical_formula_sum 'La2 Tb4 Ce6 Te12'
_space_group_name_H-M_alt 'C 1 2/m 1'
_space_group_IT_number 12
_space_group_name_Hall '-C 2y'
_cell_length_a 7.6918
_cell_length_b 13.3479
_cell_length_c 7.8030
_cell_angle_alpha 90.00
_cell_angle_beta 109.26
_cell_angle_gamma 90.00
loop_
_atom_site_label
_atom_site_fract_x
_atom_site_fract_y
_atom_site_fract_z
La1 0.0000 0.0000 0.0000
Tb1 0.0000 0.3318 0.0000
Ce1 0.0000 0.1612 0.5000
Ce2 0.0000 0.5000 0.5000
Te1 0.2367 0.5000 0.2407
Te2 0.2459 0.3288 0.7527

=====

# 18
# La2YPt (GGA-PBE, optimized geometry)
# Formation enthalpy at 0 K ... -33 kJ/mol of atoms
# Energy relative to the lowest polymorph listed for this composition ... 309 meV per atom
# Calculated total energy ... -5.930 eV per atom
data_La2YPt
_chemical_formula_sum 'La2 Y1 Pt1'
_space_group_name_H-M_alt 'P 4/m m m'
_space_group_IT_number 123
_space_group_name_Hall '-P 4 2'
_cell_length_a 5.4158
_cell_length_b 5.4158
_cell_length_c 3.7924
_cell_angle_alpha 90.00
_cell_angle_beta 90.00
_cell_angle_gamma 90.00
loop_
_atom_site_label
_atom_site_fract_x
_atom_site_fract_y
_atom_site_fract_z
La1 0.0000 0.5000 0.0000
Y1 0.0000 0.0000 0.5000
Pt1 0.5000 0.5000 0.5000

=====

# 19
# P2SeNCl (GGA-PBE, optimized geometry)
# ΔE_f (raw) ... 1.160 eV/atom
# Energy relative to the lowest polymorph listed for this composition ... 0 meV per atom
# Calculated total energy ... -3.735 eV per atom
data_P2SeNCl
_chemical_formula_sum 'P2 Se1 N1 Cl1'
_space_group_name_H-M_alt 'P 4/m m m'
_space_group_IT_number 123
_space_group_name_Hall '-P 4 2'
_cell_length_a 4.3258
_cell_length_b 4.3258
_cell_length_c 4.1426
_cell_angle_alpha 90.00
_cell_angle_beta 90.00
_cell_angle_gamma 90.00
loop_
_atom_site_label
_atom_site_fract_x
_atom_site_fract_y
_atom_site_fract_z
P1 0.0000 0.5000 0.0000
Se1 0.0000 0.0000 0.5000
N1 0.5000 0.5000 0.0000
Cl1 0.5000 0.5000 0.5000

=====

# 20
# PSe2 (GGA-PBE, optimized geometry)
# ΔE_f (raw) ... 0.338 eV/atom
# Energy relative to the lowest polymorph listed for this composition ... 309 meV per atom
# Calculated total energy ... -3.788 eV per atom
data_PSe2
_chemical_formula_sum 'P4 Se8'
_space_group_name_H-M_alt 'I m m a'
_space_group_IT_number 74
_space_group_name_Hall '-I 2b 2'
_cell_length_a 3.3666
_cell_length_b 3.3862
_cell_length_c 25.9705
_cell_angle_alpha 90.00
_cell_angle_beta 90.00
_cell_angle_gamma 90.00
loop_
_atom_site_label
_atom_site_fract_x
_atom_site_fract_y
_atom_site_fract_z
P1 0.0000 0.2500 0.1358
Se1 0.0000 0.2500 0.5332
Se2 0.0000 0.2500 0.6699